Entry 1:
Computed, not measured: PmScZnCd after structural relaxation at the GGA-PBE level of DFT.

Properties
Space group: F-43m (216)

Cell lengths 7.2294, 7.2294, 7.2294 Å; angles 90.00, 90.00, 90.00 degrees
Closest atoms and distances in Å follow each position.
Positions (direct):
Pm1 0.0000 0.0000 0.0000  4 Cd 3.13, 4 Zn 3.13
Pm2 0.0000 0.5000 0.5000  4 Cd 3.13, 4 Zn 3.13
Pm3 0.5000 0.0000 0.5000  4 Cd 3.13, 4 Zn 3.13
Pm4 0.5000 0.5000 0.0000  4 Cd 3.13, 4 Zn 3.13
Sc1 0.0000 0.0000 0.5000  4 Cd 3.13, 4 Zn 3.13
Sc2 0.0000 0.5000 0.0000  4 Cd 3.13, 4 Zn 3.13
Sc3 0.5000 0.0000 0.0000  4 Cd 3.13, 4 Zn 3.13
Sc4 0.5000 0.5000 0.5000  4 Cd 3.13, 4 Zn 3.13
Zn1 0.2500 0.2500 0.7500  4 Pm 3.13, 4 Sc 3.13
Zn2 0.2500 0.7500 0.2500  4 Pm 3.13, 4 Sc 3.13
Zn3 0.7500 0.2500 0.2500  4 Pm 3.13, 4 Sc 3.13
Zn4 0.7500 0.7500 0.7500  4 Sc 3.13, 4 Pm 3.13
Cd1 0.2500 0.2500 0.2500  4 Pm 3.13, 4 Sc 3.13
Cd2 0.2500 0.7500 0.7500  4 Pm 3.13, 4 Sc 3.13
Cd3 0.7500 0.2500 0.7500  4 Pm 3.13, 4 Sc 3.13
Cd4 0.7500 0.7500 0.2500  4 Pm 3.13, 4 Sc 3.13


Entry 2:
Computed, not measured: Ca2PmEr after structural relaxation at the GGA-PBE level of DFT.

Properties
Space group: Fm-3m (225)

Cell lengths 8.3022, 8.3022, 8.3022 Å; angles 90.00, 90.00, 90.00 degrees
Closest atoms and distances in Å follow each position.
Positions (direct):
Ca1 0.2500 0.2500 0.2500  4 Er 3.59, 4 Pm 3.59
Ca2 0.2500 0.2500 0.7500  4 Er 3.59, 4 Pm 3.59
Ca3 0.2500 0.7500 0.2500  4 Er 3.59, 4 Pm 3.59
Ca4 0.2500 0.7500 0.7500  4 Er 3.59, 4 Pm 3.59
Ca5 0.7500 0.2500 0.2500  4 Er 3.59, 4 Pm 3.59
Ca6 0.7500 0.2500 0.7500  4 Er 3.59, 4 Pm 3.59
Ca7 0.7500 0.7500 0.2500  4 Er 3.59, 4 Pm 3.59
Ca8 0.7500 0.7500 0.7500  4 Pm 3.59, 4 Er 3.59
Pm1 0.0000 0.0000 0.0000  8 Ca 3.59
Pm2 0.0000 0.5000 0.5000  8 Ca 3.59
Pm3 0.5000 0.0000 0.5000  8 Ca 3.59
Pm4 0.5000 0.5000 0.0000  8 Ca 3.59
Er1 0.0000 0.0000 0.5000  8 Ca 3.59
Er2 0.0000 0.5000 0.0000  8 Ca 3.59
Er3 0.5000 0.0000 0.0000  8 Ca 3.59
Er4 0.5000 0.5000 0.5000  8 Ca 3.59


no.,calculated density (g/cm³),DOS at the Fermi energy (states/eV/cell),energy of formation (eV per atom)
1,6.5,17.36,-0.2818
2,4.6,22.96,0.1664